# GGA-PBE Tm5ZnSb4, optimized geometry
# **Density**: 8.253 g/cm³
# **Energy relative to the elements, uncorrected**: -8.0 eV per formula unit
# **Final energy**: -96.20 eV for the cell shown
data_Tm5ZnSb4
_cell_length_a 9.619
_cell_length_b 9.619
_cell_length_c 6.076
_cell_angle_alpha 90.00
_cell_angle_beta 90.00
_cell_angle_gamma 90.00
_symmetry_space_group_name_H-M 'I 4'
_symmetry_Int_Tables_number 79
_symmetry_space_group_name_Hall 'I 4'
loop_
_atom_site_label
_atom_site_fract_x
_atom_site_fract_y
_atom_site_fract_z
Tm1 0.000 0.000 0.000
Tm2 0.103 0.302 0.501
Zn1 0.000 0.000 0.500
Sb1 0.099 0.300 0.001

=====

# GGA-PBE Tm2ZnSb, optimized geometry
# **Density**: 8.896 g/cm³
# **Energy relative to the elements, uncorrected**: -2.6 eV per formula unit
# **Final energy**: -33.92 eV for the cell shown
data_Tm2ZnSb
_cell_length_a 5.917
_cell_length_b 4.082
_cell_length_c 8.540
_cell_angle_alpha 90.00
_cell_angle_beta 108.17
_cell_angle_gamma 90.00
_symmetry_space_group_name_H-M 'P 1 21/m 1'
_symmetry_Int_Tables_number 11
_symmetry_space_group_name_Hall '-P 2yb'
loop_
_atom_site_label
_atom_site_fract_x
_atom_site_fract_y
_atom_site_fract_z
Tm1 0.197 0.250 0.425
Tm2 0.275 0.750 0.064
Zn1 0.116 0.250 0.794
Sb1 0.378 0.750 0.708

=====

# GGA-PBE Tm7Zn2Sb2, optimized geometry
# **Density**: 8.044 g/cm³
# **Energy relative to the elements, uncorrected**: -2.1 eV per formula unit
# **Final energy**: -88.37 eV for the cell shown
data_Tm7Zn2Sb2
_cell_length_a 8.993
_cell_length_b 10.620
_cell_length_c 6.730
_cell_angle_alpha 90.00
_cell_angle_beta 90.00
_cell_angle_gamma 90.00
_symmetry_space_group_name_H-M 'C m m m'
_symmetry_Int_Tables_number 65
_symmetry_space_group_name_Hall '-C 2 2'
loop_
_atom_site_label
_atom_site_fract_x
_atom_site_fract_y
_atom_site_fract_z
Tm1 0.000 0.000 0.000
Tm2 0.000 0.500 0.241
Tm3 0.250 0.250 0.251
Zn1 0.000 0.276 0.000
Sb1 0.204 0.000 0.500

=====

# GGA-PBE Tm3ZnSb, optimized geometry
# **Density**: 8.435 g/cm³
# **Energy relative to the elements, uncorrected**: -2.3 eV per formula unit
# **Final energy**: -84.50 eV for the cell shown
data_Tm3ZnSb
_cell_length_a 16.947
_cell_length_b 4.173
_cell_length_c 8.313
_cell_angle_alpha 90.00
_cell_angle_beta 111.63
_cell_angle_gamma 90.00
_symmetry_space_group_name_H-M 'C 1 2/m 1'
_symmetry_Int_Tables_number 12
_symmetry_space_group_name_Hall '-C 2y'
loop_
_atom_site_label
_atom_site_fract_x
_atom_site_fract_y
_atom_site_fract_z
Tm1 0.084 0.000 0.174
Tm2 0.086 0.500 0.818
Tm3 0.235 0.000 0.681
Zn1 0.210 0.000 0.023
Sb1 0.111 0.500 0.458

=====

# GGA-PBE TmZnSb, optimized geometry
# **Density**: 7.526 g/cm³
# **Energy relative to the elements, uncorrected**: -1.5 eV per formula unit
# **Final energy**: -22.72 eV for the cell shown
data_TmZnSb
_cell_length_a 3.432
_cell_length_b 4.501
_cell_length_c 10.335
_cell_angle_alpha 79.88
_cell_angle_beta 89.81
_cell_angle_gamma 89.73
_symmetry_space_group_name_H-M 'P -1'
_symmetry_Int_Tables_number 2
_symmetry_space_group_name_Hall '-P 1'
loop_
_atom_site_label
_atom_site_fract_x
_atom_site_fract_y
_atom_site_fract_z
Tm1 0.001 0.328 0.307
Zn1 0.500 0.228 0.555
Sb1 0.498 0.119 0.826

=====

# GGA-PBE Tm5ZnSb2, optimized geometry
# **Density**: 8.678 g/cm³
# **Energy relative to the elements, uncorrected**: -2.6 eV per formula unit
# **Final energy**: -137.83 eV for the cell shown
data_Tm5ZnSb2
_cell_length_a 5.541
_cell_length_b 11.455
_cell_length_c 13.912
_cell_angle_alpha 90.00
_cell_angle_beta 90.00
_cell_angle_gamma 90.00
_symmetry_space_group_name_H-M 'C m c m'
_symmetry_Int_Tables_number 63
_symmetry_space_group_name_Hall '-C 2c 2'
loop_
_atom_site_label
_atom_site_fract_x
_atom_site_fract_y
_atom_site_fract_z
Tm1 0.000 0.071 0.103
Tm2 0.000 0.377 0.052
Tm3 0.000 0.421 0.750
Zn1 0.000 0.285 0.250
Sb1 0.000 0.202 0.618

=====

# GGA-PBE Tm6Zn2Sb, optimized geometry
# **Density**: 9.012 g/cm³
# **Energy relative to the elements, uncorrected**: -3.0 eV per formula unit
# **Final energy**: -146.11 eV for the cell shown
data_Tm6Zn2Sb
_cell_length_a 9.542
_cell_length_b 9.840
_cell_length_c 9.940
_cell_angle_alpha 90.00
_cell_angle_beta 90.00
_cell_angle_gamma 90.00
_symmetry_space_group_name_H-M 'I m m m'
_symmetry_Int_Tables_number 71
_symmetry_space_group_name_Hall '-I 2 2'
loop_
_atom_site_label
_atom_site_fract_x
_atom_site_fract_y
_atom_site_fract_z
Tm1 0.000 0.215 0.179
Tm2 0.181 0.230 0.500
Tm3 0.212 0.500 0.255
Zn1 0.000 0.000 0.374
Zn2 0.134 0.000 0.000
Sb1 0.000 0.500 0.000
Sb2 0.000 0.500 0.500

=====

# GGA-PBE Tm2ZnSb, optimized geometry
# **Density**: 9.070 g/cm³
# **Energy relative to the elements, uncorrected**: -2.2 eV per formula unit
# **Final energy**: -16.54 eV for the cell shown
data_Tm2ZnSb
_cell_length_a 3.805
_cell_length_b 3.805
_cell_length_c 6.639
_cell_angle_alpha 90.00
_cell_angle_beta 90.00
_cell_angle_gamma 90.00
_symmetry_space_group_name_H-M 'P 4/m m m'
_symmetry_Int_Tables_number 123
_symmetry_space_group_name_Hall '-P 4 2'
loop_
_atom_site_label
_atom_site_fract_x
_atom_site_fract_y
_atom_site_fract_z
Tm1 0.000 0.000 0.246
Zn1 0.500 0.500 0.000
Sb1 0.500 0.500 0.500

=====

# GGA-PBE Tm5Zn2Sb, optimized geometry
# **Density**: 9.087 g/cm³
# **Energy relative to the elements, uncorrected**: -3.8 eV per formula unit
# **Final energy**: -131.39 eV for the cell shown
data_Tm5Zn2Sb
_cell_length_a 7.974
_cell_length_b 7.974
_cell_length_c 12.613
_cell_angle_alpha 90.00
_cell_angle_beta 90.00
_cell_angle_gamma 90.00
_symmetry_space_group_name_H-M 'I 4/m c m'
_symmetry_Int_Tables_number 140
_symmetry_space_group_name_Hall '-I 4 2c'
loop_
_atom_site_label
_atom_site_fract_x
_atom_site_fract_y
_atom_site_fract_z
Tm1 0.000 0.000 0.000
Tm2 0.154 0.346 0.144
Zn1 0.138 0.362 0.500
Sb1 0.000 0.000 0.250

=====

# GGA-PBE Tm4ZnSb, optimized geometry
# **Density**: 8.068 g/cm³
# **Energy relative to the elements, uncorrected**: -1.2 eV per formula unit
# **Final energy**: -48.96 eV for the cell shown
data_Tm4ZnSb
_cell_length_a 5.812
_cell_length_b 8.370
_cell_length_c 7.514
_cell_angle_alpha 90.00
_cell_angle_beta 103.63
_cell_angle_gamma 90.00
_symmetry_space_group_name_H-M 'P 1 21/m 1'
_symmetry_Int_Tables_number 11
_symmetry_space_group_name_Hall '-P 2yb'
loop_
_atom_site_label
_atom_site_fract_x
_atom_site_fract_y
_atom_site_fract_z
Tm1 0.012 0.056 0.236
Tm2 0.414 0.750 0.510
Tm3 0.420 0.250 0.998
Zn1 0.136 0.750 0.098
Sb1 0.123 0.250 0.591

=====

# GGA-PBE TmZr2Sb, optimized geometry
# **Density**: 8.368 g/cm³
# **Energy relative to the elements, uncorrected**: -1.5 eV per formula unit
# **Final energy**: -27.20 eV for the cell shown
data_TmZr2Sb
_cell_length_a 4.416
_cell_length_b 4.416
_cell_length_c 4.814
_cell_angle_alpha 90.00
_cell_angle_beta 90.00
_cell_angle_gamma 90.00
_symmetry_space_group_name_H-M 'P 4/m m m'
_symmetry_Int_Tables_number 123
_symmetry_space_group_name_Hall '-P 4 2'
loop_
_atom_site_label
_atom_site_fract_x
_atom_site_fract_y
_atom_site_fract_z
Tm1 0.000 0.000 0.000
Zr1 0.000 0.500 0.500
Sb1 0.500 0.500 0.000

=====

# GGA-PBE Tm2ZrSb, optimized geometry
# **Density**: 9.221 g/cm³
# **Energy relative to the elements, uncorrected**: -1.5 eV per formula unit
# **Final energy**: -23.14 eV for the cell shown
data_Tm2ZrSb
_cell_length_a 4.681
_cell_length_b 4.681
_cell_length_c 4.527
_cell_angle_alpha 90.00
_cell_angle_beta 90.00
_cell_angle_gamma 90.00
_symmetry_space_group_name_H-M 'P 4/m m m'
_symmetry_Int_Tables_number 123
_symmetry_space_group_name_Hall '-P 4 2'
loop_
_atom_site_label
_atom_site_fract_x
_atom_site_fract_y
_atom_site_fract_z
Tm1 0.000 0.500 0.000
Zr1 0.000 0.000 0.500
Sb1 0.500 0.500 0.500

=====

> density of number 9 (Tm5Zn2Sb)?

9.087 g/cm³

=====

> Look up the energy relative to the elements, uncorrected of the second one.

-2.6 eV per formula unit

=====

> Number 8 is which compound?

Tm2ZnSb

=====

> Which value of density does entry 2 give?

8.896 g/cm³